This record from Alexandria describes PmMgPd4 after structural relaxation. The functional is PBE.

```
PmMgPd4
1.0
3.6275 0.0000 1.0492
2.0262 4.7356 -0.2099
0.0579 -1.6348 6.5954
Pd Pm Mg
4 1 1
direct
0.8084 0.5306 0.8527
0.1916 0.4694 0.1473
0.6407 0.0280 0.6905
0.3593 0.9720 0.3095
0.5000 0.5000 0.5000
0.0000 0.0000 0.0000
```

Results
As for the space group: C2/m. For the density of states at the Fermi level, the calculation gives 2.407 states/eV/cell. For the magnetic moment, the calculation gives 0.0 μB per formula unit. For the electronic total energy, the calculation gives -0.18862 Ha/atom.

This record from Alexandria describes PmMgPd after structural relaxation. The functional is PBE.

```
PmMgPd
1.0
3.7133 0.0000 0.0000
0.0000 4.6648 0.0000
0.0000 -2.3324 4.0399
Pd Mg Pm
1 1 1
direct
0.1673 0.6667 0.3333
0.1663 0.0000 0.0000
0.6664 0.3333 0.6667
```

Results
As for the space group: P-6m2. For the density of states at the Fermi level, the calculation gives 3.066 states/eV/cell. For the magnetic moment, the calculation gives 0.0 μB per formula unit. For the electronic total energy, the calculation gives -0.15885 Ha/atom.

This record from Alexandria describes PmMg2Pd after structural relaxation. The functional is PBE.

```
PmMg2Pd
1.0
-2.8436 3.0019 -2.7070
-1.1322 -1.2043 -4.6576
-4.6144 -1.3427 -1.1532
Pm Pd Mg
1 1 2
direct
0.0000 0.0000 0.0000
0.5000 0.5000 0.5000
0.7500 0.7500 0.7500
0.2500 0.2500 0.2500
```

Results
As for the space group: Fm-3m. For the density of states at the Fermi level, the calculation gives 3.709 states/eV/cell. For the magnetic moment, the calculation gives 0.0 μB per formula unit. For the electronic total energy, the calculation gives -0.13047 Ha/atom.